1.
DyCo5C2 after structural relaxation. Source: Alexandria, functional GGA-PBE.

Cell lengths 3.5137, 5.9895, 8.0599 Å; angles 90.00, 90.00, 90.00 degrees
With the nearest neighbours (Å) after each atom.
Fractional coordinates of all 16 atoms:
Dy (0.0000, 0.0000, 0.0000)  4 C 2.73, 14 Co 2.83-2.99
Dy (0.5000, 0.5000, 0.5000)  4 C 2.73, 14 Co 2.83-2.99
Co (0.0000, 0.1965, 0.3412)  3 C 1.99-2.21
Co (0.0000, 0.1965, 0.6588)  3 C 1.99-2.21
Co (0.0000, 0.5000, 0.0000)  2 C 1.93
Co (0.0000, 0.8035, 0.3412)  3 C 1.99-2.21
Co (0.0000, 0.8035, 0.6588)  3 C 1.99-2.21
Co (0.5000, 0.0000, 0.5000)  2 C 1.93
Co (0.5000, 0.3035, 0.1588)  3 C 1.99-2.21
Co (0.5000, 0.3035, 0.8412)  3 C 1.99-2.21
Co (0.5000, 0.6965, 0.1588)  3 C 1.99-2.21
Co (0.5000, 0.6965, 0.8412)  3 C 1.99-2.21
C (0.0000, 0.5000, 0.2400)  3 Co 1.93-1.99
C (0.0000, 0.5000, 0.7600)  3 Co 1.93-1.99
C (0.5000, 0.0000, 0.2600)  3 Co 1.93-1.99
C (0.5000, 0.0000, 0.7400)  3 Co 1.93-1.99

## Properties
The density of states at the Fermi level is 1.153 states/eV per atom. Its formation energy from the elements is 0.004 eV/atom. Its energy is -58.5 eV/f.u.

***

2.
Na6BiAu after structural relaxation. Source: Alexandria, functional GGA-PBE.

Cell lengths 6.9800, 6.9860, 8.0752 Å; angles 115.07, 90.56, 118.19 degrees
With the nearest neighbours (Å) after each atom.
Fractional coordinates of all 8 atoms:
Na (0.0482, 0.3080, 0.2445)  1 Au 2.91, 1 Bi 3.09
Na (0.2470, 0.3158, 0.7607)  1 Au 2.90, 1 Bi 3.07
Na (0.4146, 0.9769, 0.2414)  1 Au 2.92, 1 Bi 3.09
Na (0.5854, 0.0231, 0.7586)  1 Au 2.92, 1 Bi 3.09
Na (0.7530, 0.6842, 0.2393)  1 Au 2.90, 1 Bi 3.07
Na (0.9518, 0.6920, 0.7555)  1 Au 2.91, 1 Bi 3.09
Bi (0.5000, 0.5000, 0.5000)  6 Na 3.07-3.09
Au (0.0000, 0.5000, 0.0000)  6 Na 2.90-2.92

## Properties
The density of states at the Fermi level is 0.293 states/eV per atom. Its formation energy from the elements is -0.132 eV/atom. Its energy is -16.1 eV/f.u.

***

3.
Cs3BaCr after structural relaxation. Source: Alexandria, functional GGA-PBE.

Cell lengths 7.0024, 7.0024, 7.0024 Å; angles 90.00, 90.00, 90.00 degrees
With the nearest neighbours (Å) after each atom.
Fractional coordinates of all 5 atoms:
Cs (0.0000, 0.0000, 0.5000)  2 Ba 3.50
Cs (0.0000, 0.5000, 0.0000)  2 Ba 3.50
Cs (0.5000, 0.0000, 0.0000)  2 Ba 3.50
Ba (0.0000, 0.0000, 0.0000)  6 Cs 3.50
Cr (0.5000, 0.5000, 0.5000)  12 Cs 4.95

## Properties
The density of states at the Fermi level is 3.904 states/eV per atom. Its formation energy from the elements is 1.831 eV/atom. Its energy is -5.0 eV/f.u.

***

4.
Co2Ni2W after structural relaxation. Source: Alexandria, functional GGA-PBE.

Cell lengths 6.7791, 6.7791, 2.5984 Å; angles 90.00, 90.00, 90.00 degrees
With the nearest neighbours (Å) after each atom.
Fractional coordinates of all 10 atoms:
Co (0.1738, 0.3262, 0.0000)  6 Ni 2.34-2.42, 2 Co 2.60
Co (0.3262, 0.8262, 0.0000)  6 Ni 2.34-2.42, 2 Co 2.60
Co (0.6738, 0.1738, 0.0000)  6 Ni 2.34-2.42, 2 Co 2.60
Co (0.8262, 0.6738, 0.0000)  6 Ni 2.34-2.42, 2 Co 2.60
Ni (0.1232, 0.6232, 0.5000)  6 Co 2.34-2.42, 3 Ni 2.36-2.60
Ni (0.3768, 0.1232, 0.5000)  6 Co 2.34-2.42, 3 Ni 2.36-2.60
Ni (0.6232, 0.8768, 0.5000)  6 Co 2.34-2.42, 3 Ni 2.36-2.60
Ni (0.8768, 0.3768, 0.5000)  6 Co 2.34-2.42, 3 Ni 2.36-2.60
W (0.0000, 0.0000, 0.5000)  2 W 2.60, 4 Ni 2.69, 8 Co 2.82
W (0.5000, 0.5000, 0.5000)  2 W 2.60, 4 Ni 2.69, 8 Co 2.82

## Properties
The density of states at the Fermi level is 1.219 states/eV per atom. Its formation energy from the elements is 0.186 eV/atom. Its energy is -37.8 eV/f.u. For the energy above the most stable polymorph in this dataset, the calculation gives 0.0 meV/atom.

***

5.
CaOF4 after structural relaxation. Source: Alexandria, functional GGA-PBE.

Cell lengths 10.5586, 10.5586, 3.5744 Å; angles 90.02, 90.02, 147.28 degrees
With the nearest neighbours (Å) after each atom.
Fractional coordinates of all 12 atoms:
Ca (0.2201, 0.7799, 0.7500)  6 F 2.29
Ca (0.7799, 0.2201, 0.2500)  6 F 2.29
O (0.3977, 0.6023, 0.2500)  2 F 1.43
O (0.6023, 0.3977, 0.7500)  2 F 1.43
F (0.0317, 0.4294, 0.7504)  3 Ca 2.29
F (0.2499, 0.3686, 0.2359)  1 O 1.43
F (0.3686, 0.2499, 0.7359)  1 O 1.43
F (0.4294, 0.0317, 0.2504)  3 Ca 2.29
F (0.5706, 0.9683, 0.7496)  3 Ca 2.29
F (0.6314, 0.7501, 0.2641)  1 O 1.43
F (0.7501, 0.6314, 0.7641)  1 O 1.43
F (0.9683, 0.5706, 0.2496)  3 Ca 2.29

## Properties
The value obtained for the uncorrected formation energy is -11.25 eV per formula unit. The density of states at the Fermi level is 0.000 states/eV per atom. Its energy is -25.7 eV/f.u.

***

6.
TlTeI2N after structural relaxation. Source: Alexandria, functional GGA-PBE.

Cell lengths 6.4103, 6.4103, 4.0534 Å; angles 90.00, 90.00, 90.00 degrees
With the nearest neighbours (Å) after each atom.
Fractional coordinates of all 5 atoms:
Tl (0.0000, 0.0000, 0.0000)  8 I 3.79, 2 Tl 4.05
Te (0.5000, 0.5000, 0.5000)  2 N 2.03
I (0.0000, 0.5000, 0.5000)  2 Te 3.21
I (0.5000, 0.0000, 0.5000)  2 Te 3.21
N (0.5000, 0.5000, 0.0000)  2 Te 2.03

## Properties
The value obtained for the uncorrected formation energy is 1.56 eV per formula unit. The density of states at the Fermi level is 0.200 states/eV per atom. Its energy is -15.4 eV/f.u. For the energy above the most stable polymorph in this dataset, the calculation gives 0.0 meV/atom.

***

7.
Rb2In2Hg7 after structural relaxation. Source: Alexandria, functional GGA-PBE.

Cell lengths 9.9275, 9.9275, 6.2953 Å; angles 102.13, 102.13, 128.88 degrees
With the nearest neighbours (Å) after each atom.
Fractional coordinates of all 11 atoms:
Rb (0.1478, 0.8522, 0.0000)  6 Hg 3.71-4.11, 2 In 4.00
Rb (0.8522, 0.1478, 0.0000)  6 Hg 3.71-4.11, 2 In 4.00
In (0.3253, 0.3253, 0.4924)  3 Hg 2.81-3.14, 1 In 2.95
In (0.6747, 0.6747, 0.5076)  3 Hg 2.81-3.14, 1 In 2.95
Hg (0.0000, 0.0000, 0.5000)  2 In 2.81, 2 Hg 3.02
Hg (0.2625, 0.5954, 0.7075)  1 In 3.22, 2 Hg 3.27-3.38
Hg (0.3196, 0.3196, 0.0054)  2 Hg 3.02-3.12, 3 In 3.04-3.25
Hg (0.4046, 0.7375, 0.2925)  1 In 3.22, 2 Hg 3.27-3.38
Hg (0.5954, 0.2625, 0.7075)  1 In 3.22, 2 Hg 3.27-3.38
Hg (0.6804, 0.6804, 0.9946)  2 Hg 3.02-3.12, 3 In 3.04-3.25
Hg (0.7375, 0.4046, 0.2925)  1 In 3.22, 2 Hg 3.27-3.38

## Properties
The density of states at the Fermi level is 0.455 states/eV per atom. Its formation energy from the elements is -0.090 eV/atom. Its energy is -10.5 eV/f.u.

***

- Which value of energy does entry 7 give?
  -10.5 eV/f.u.

***

Repeat the sixth record exactly.
TlTeI2N after structural relaxation. Source: Alexandria, functional GGA-PBE.

Cell lengths 6.4103, 6.4103, 4.0534 Å; angles 90.00, 90.00, 90.00 degrees
With the nearest neighbours (Å) after each atom.
Fractional coordinates of all 5 atoms:
Tl (0.0000, 0.0000, 0.0000)  8 I 3.79, 2 Tl 4.05
Te (0.5000, 0.5000, 0.5000)  2 N 2.03
I (0.0000, 0.5000, 0.5000)  2 Te 3.21
I (0.5000, 0.0000, 0.5000)  2 Te 3.21
N (0.5000, 0.5000, 0.0000)  2 Te 2.03

## Properties
The value obtained for the uncorrected formation energy is 1.56 eV per formula unit. The density of states at the Fermi level is 0.200 states/eV per atom. Its energy is -15.4 eV/f.u. For the energy above the most stable polymorph in this dataset, the calculation gives 0.0 meV/atom.